Entry 1:
This record from Alexandria via LeMat-Bulk describes Os2PtRh after structural relaxation. The functional is GGA-PBEsol.

SG: R3m

abc: 2.7062 2.7062 9.0243
angles: 81.38 81.38 60.00
Atoms (fractional coordinates):
Os 0.2529 0.2529 0.2413
Os 0.9993 0.9993 0.0021
Pt 0.5003 0.5003 0.4992
Rh 0.7475 0.7475 0.7574

Entry 2:
This record from Alexandria via LeMat-Bulk describes Os2PtRh after structural relaxation. The functional is GGA-PBEsol.

SG: Cmm2

abc: 2.6697 2.6697 9.3610
angles: 90.00 90.00 119.51
Atoms (fractional coordinates):
Rh 0.5000 0.5000 0.2441
Pt 0.0000 0.0000 0.4989
Os 0.0000 0.0000 0.0002
Os 0.5000 0.5000 0.7568

Entry 3:
This record from Alexandria via LeMat-Bulk describes OsPtRh2 after structural relaxation. The functional is GGA-PBEsol.

SG: R3m

abc: 2.7001 2.7001 8.9752
angles: 81.35 81.35 60.00
Atoms (fractional coordinates):
Rh 0.0016 0.0016 0.9952
Rh 0.7511 0.7511 0.7466
Os 0.4978 0.4978 0.5065
Pt 0.2494 0.2494 0.2517

Entry 4:
This record from Alexandria via LeMat-Bulk describes OsPtRh2 after structural relaxation. The functional is GGA-PBEsol.

SG: Pmmm

abc: 2.6952 3.8081 5.4230
angles: 90.00 90.00 90.00
Atoms (fractional coordinates):
Rh 0.0000 0.0000 0.7600
Rh 0.0000 0.0000 0.2400
Pt 0.5000 0.5000 0.5000
Os 0.5000 0.5000 0.0000

Entry 5:
This record from Alexandria via LeMat-Bulk describes OsPtRh2 after structural relaxation. The functional is GGA-PBEsol.

SG: P4mm

abc: 2.6932 2.6932 7.6858
angles: 90.00 90.00 90.00
Atoms (fractional coordinates):
Rh 0.0000 0.0000 0.0054
Rh 0.5000 0.5000 0.2546
Pt 0.5000 0.5000 0.7469
Os 0.0000 0.0000 0.4931

Entry 6:
This record from Alexandria via LeMat-Bulk describes OsPt2Rh after structural relaxation. The functional is GGA-PBEsol.

SG: I-4m2

abc: 3.8340 3.8340 4.7309
angles: 113.90 113.90 90.00
Atoms (fractional coordinates):
Rh 0.5000 0.5000 0.0000
Os 0.2500 0.7500 0.5000
Pt 0.0000 0.0000 0.0000
Pt 0.7500 0.2500 0.5000

Entry 7:
This record from Alexandria via LeMat-Bulk describes OsPtRh2 after structural relaxation. The functional is GGA-PBEsol.

SG: C2/m

abc: 2.6848 4.6803 4.6923
angles: 99.34 90.00 106.67
Atoms (fractional coordinates):
Rh 0.2465 0.4930 0.2412
Rh 0.7535 0.5070 0.7588
Os 0.5000 0.0000 0.0000
Pt 0.0000 0.0000 0.5000

Entry 8:
This record from Alexandria via LeMat-Bulk describes OsPtRh after structural relaxation. The functional is GGA-PBEsol.

SG: Imm2

abc: 2.7044 3.8399 4.6863
angles: 114.19 106.77 90.00
Atoms (fractional coordinates):
Pt 0.6647 0.6647 0.3294
Rh 0.3382 0.3382 0.6765
Os 0.9970 0.9970 0.9941

Entry 9:
This record from Alexandria via LeMat-Bulk describes OsPtRh2 after structural relaxation. The functional is GGA-PBEsol.

SG: Pmm2

abc: 2.6918 3.8339 5.3950
angles: 90.00 90.00 90.00
Atoms (fractional coordinates):
Os 0.0000 0.0000 0.4924
Rh 0.0000 0.0000 0.0029
Rh 0.5000 0.5000 0.2570
Pt 0.5000 0.5000 0.7476

Entry 10:
This record from Alexandria via LeMat-Bulk describes OsPt2Rh after structural relaxation. The functional is GGA-PBEsol.

SG: C2/m

abc: 2.7199 4.7001 4.7373
angles: 99.41 90.00 106.82
Atoms (fractional coordinates):
Rh 0.0000 0.0000 0.5000
Pt 0.2476 0.4952 0.2455
Pt 0.7524 0.5048 0.7545
Os 0.5000 0.0000 0.0000

Entry 11:
This record from Alexandria via LeMat-Bulk describes OsPt2Rh after structural relaxation. The functional is GGA-PBEsol.

SG: P4mm

abc: 2.7079 2.7079 7.8040
angles: 90.00 90.00 90.00
Atoms (fractional coordinates):
Pt 0.5000 0.5000 0.2553
Pt 0.0000 0.0000 0.9901
Rh 0.0000 0.0000 0.5125
Os 0.5000 0.5000 0.7421

Entry 12:
This record from Alexandria via LeMat-Bulk describes OsPtRh2 after structural relaxation. The functional is GGA-PBEsol.

SG: Cm

abc: 2.6899 4.6836 4.6786
angles: 99.40 90.00 106.69
Atoms (fractional coordinates):
Pt 0.2483 0.4966 0.7479
Rh 0.0011 0.0023 0.0023
Rh 0.7523 0.5046 0.2566
Os 0.4982 0.9964 0.4932

Number 1: DFT total energy -9.84 eV per atom, distance to the lowest polymorph of the same formula 7.3 meV/atom, formation energy 39 meV per atom. Number 2: DFT total energy -9.43 eV per atom, distance to the lowest polymorph of the same formula 417.7 meV/atom, formation energy 449 meV per atom. Number 3: DFT total energy -8.82 eV per atom, distance to the lowest polymorph of the same formula 85.8 meV/atom, formation energy 44 meV per atom. Number 4: DFT total energy -8.87 eV per atom, distance to the lowest polymorph of the same formula 31.3 meV/atom, formation energy -10 meV per atom. Number 5: DFT total energy -8.82 eV per atom, distance to the lowest polymorph of the same formula 80.9 meV/atom, formation energy 39 meV per atom. Number 6: DFT total energy -8.52 eV per atom, distance to the lowest polymorph of the same formula 60.1 meV/atom, formation energy 46 meV per atom. Number 7: DFT total energy -8.85 eV per atom, distance to the lowest polymorph of the same formula 52.9 meV/atom, formation energy 11 meV per atom. Number 8: DFT total energy -9.07 eV per atom, distance to the lowest polymorph of the same formula 23.1 meV/atom, formation energy 35 meV per atom. Number 9: DFT total energy -8.83 eV per atom, distance to the lowest polymorph of the same formula 78.1 meV/atom, formation energy 37 meV per atom. Number 10: DFT total energy -8.50 eV per atom, distance to the lowest polymorph of the same formula 85.2 meV/atom, formation energy 71 meV per atom. Number 11: DFT total energy -8.58 eV per atom, distance to the lowest polymorph of the same formula 0.0 meV/atom, formation energy -14 meV per atom. Number 12: DFT total energy -8.83 eV per atom, distance to the lowest polymorph of the same formula 75.1 meV/atom, formation energy 34 meV per atom.